K5Na2Cd: optimized geometry, GGA-PBE.

Computed properties:
energy of formation from the pure elements = -0.002 eV per atom
crystal system = orthorhombic
total magnetic moment = 0.00 μB per cell

Lattice parameters (Å, degrees): 7.529 7.529 26.117 90.00 90.00 143.93
Positions (direct):
K 0.003 0.997 0.750
K 0.135 0.865 0.043
K 0.135 0.865 0.457
K 0.403 0.597 0.118
K 0.403 0.597 0.382
K 0.597 0.403 0.618
K 0.597 0.403 0.882
K 0.865 0.135 0.543
K 0.865 0.135 0.957
K 0.997 0.003 0.250
Na 0.305 0.695 0.678
Na 0.305 0.695 0.822
Na 0.695 0.305 0.178
Na 0.695 0.305 0.322
Cd 0.288 0.712 0.250
Cd 0.712 0.288 0.750